This record from Alexandria via LeMat-Bulk describes a relaxed structure of AlZn2Fe. The functional is PBE.

Output
- energy of formation (eV/atom) = -0.004
- magnetization (Bohr magnetons per cell) = 1.799

a = 2.6138 Å, b = 4.6053 Å, c = 4.5845 Å
α = 90.00°, β = 93.17°, γ = 90.00°
Element x y z (fractional)
Al (0.0000, 0.0000, 0.0000)
Zn (0.2505, 0.5000, 0.7406)
Zn (0.7495, 0.5000, 0.2594)
Fe (0.5000, 0.0000, 0.5000)